Record 1
Y2Hg2F | GGA-PBE | relaxed

Computed properties:
**Symmetry**: P4/mbm
**Uncorrected energy**: -0.158 Ha/atom
**Raw formation energy**: -1214 meV/atom
**Fermi-level density of states**: 7.02 states/eV/cell

abc: 6.811 6.811 5.134
angles: 90.00 90.00 90.00
Fractional coordinates of all 10 atoms:
Y1 0.328 0.828 0.000
Y2 0.828 0.672 0.000
Y3 0.672 0.172 0.000
Y4 0.172 0.328 0.000
Hg1 0.149 0.649 0.500
Hg2 0.649 0.851 0.500
Hg3 0.851 0.351 0.500
Hg4 0.351 0.149 0.500
F1 0.000 0.000 0.000
F2 0.500 0.500 0.000

=====

Record 2
HfZr2Fe9 | GGA-PBE | relaxed

Computed properties:
**ΔH_f (0 K)**: -0.210 eV/atom
**Symmetry**: R-3m
**Uncorrected energy**: -0.324 Ha/atom
**Fermi-level density of states**: 10.59 states/eV/cell

abc: 4.908 4.908 8.472
angles: 73.16 73.16 60.00
Fractional coordinates of all 12 atoms:
Hf1 0.000 0.000 0.000
Zr1 0.859 0.859 0.424
Zr2 0.141 0.141 0.576
Fe1 0.667 0.667 0.999
Fe2 0.333 0.333 0.001
Fe3 0.500 0.500 0.500
Fe4 0.416 0.416 0.250
Fe5 0.919 0.416 0.250
Fe6 0.416 0.919 0.250
Fe7 0.584 0.584 0.750
Fe8 0.584 0.081 0.750
Fe9 0.081 0.584 0.750

=====

Record 3
KCu3Br | GGA-PBE | relaxed

Computed properties:
**Symmetry**: Pm-3m
**Uncorrected energy**: -0.082 Ha/atom
**Raw formation energy**: 774 meV/atom
**Fermi-level density of states**: 5.86 states/eV/cell

abc: 5.037 5.037 5.037
angles: 90.00 90.00 90.00
Fractional coordinates of all 5 atoms:
K1 0.500 0.500 0.500
Cu1 0.000 0.500 0.000
Cu2 0.000 0.000 0.500
Cu3 0.500 0.000 0.000
Br1 0.000 0.000 0.000

=====

Record 4
BaTeW2 | GGA-PBE | relaxed

Computed properties:
**Symmetry**: Immm
**Uncorrected energy**: -0.239 Ha/atom
**Raw formation energy**: 1233 meV/atom
**Fermi-level density of states**: 3.96 states/eV/cell

abc: 6.336 6.336 6.336
angles: 151.71 128.34 59.94
Fractional coordinates of all 4 atoms:
Ba1 0.250 0.750 0.500
Te1 0.750 0.250 0.500
W1 0.964 0.964 0.000
W2 0.536 0.536 0.000

=====

Record 5
Li2PrDyHg4 | GGA-PBE | relaxed

Computed properties:
**ΔH_f (0 K)**: -0.444 eV/atom
**Symmetry**: R-3m
**Uncorrected energy**: -0.083 Ha/atom
**Fermi-level density of states**: 5.80 states/eV/cell

abc: 5.085 5.085 8.877
angles: 73.36 73.36 60.00
Fractional coordinates of all 8 atoms:
Li1 0.752 0.752 0.744
Li2 0.248 0.248 0.256
Pr1 0.000 0.000 0.000
Dy1 0.500 0.500 0.500
Hg1 0.379 0.379 0.864
Hg2 0.872 0.872 0.383
Hg3 0.128 0.128 0.617
Hg4 0.621 0.621 0.136

=====

Record 6
TlSb2TeRh | GGA-PBE | relaxed

Computed properties:
**Symmetry**: P4/mmm
**Uncorrected energy**: -0.150 Ha/atom
**Raw formation energy**: 149 meV/atom
**Fermi-level density of states**: 4.13 states/eV/cell

abc: 5.080 5.080 5.871
angles: 90.00 90.00 90.00
Fractional coordinates of all 5 atoms:
Sb1 0.000 0.500 0.000
Sb2 0.500 0.000 0.000
Tl1 0.500 0.500 0.500
Te1 0.000 0.000 0.500
Rh1 0.000 0.000 0.000